PBE SrTiRh3, optimized geometry; DOS at the Fermi energy = 4.36 states/eV/cell; E_tot = -0.4708 Ry per atom; E above lowest polymorph = 0 meV per atom; symmetry = Pm-3m
1.0
-0.483 -4.621 -0.563
2.948 0.135 -3.632
3.603 -0.730 2.897
Rh Sr Ti
3 1 1
Direct
0.000 0.000 0.500
0.500 0.000 0.000
0.000 0.500 0.000
0.500 0.500 0.500
0.000 0.000 0.000